Record 1
VASP calculation (PBE) on crystalline Nd2PdN at its relaxed geometry.

abc: 3.5151 3.5151 25.0648
angles: 90.00 90.00 120.00
Space group R-3m (No. 166, hexagonal axes)
Asymmetric unit:
Nd (0.0000, 0.0000, 0.1095) (multiplicity 6)
Pd (0.0000, 0.0000, 0.0000) (multiplicity 3)
N (0.0000, 0.0000, 0.5000) (multiplicity 3)

Its crystal system is trigonal.



Record 2
VASP calculation (PBE) on crystalline Sr2PrCl at its relaxed geometry.

abc: 4.0009 4.0009 32.3047
angles: 90.00 90.00 120.00
Space group R-3m (No. 166, hexagonal axes)
Asymmetric unit:
Sr (0.0000, 0.0000, 0.2355) (multiplicity 6)
Pr (0.0000, 0.0000, 0.0000) (multiplicity 3)
Cl (0.0000, 0.0000, 0.5000) (multiplicity 3)

Its crystal system is trigonal.



Record 3
VASP calculation (PBE) on crystalline ScCl at its relaxed geometry.

abc: 3.3903 3.3903 8.7470
angles: 90.00 90.00 120.00
Space group P6_3mc (No. 186)
Asymmetric unit:
Sc (0.3333, 0.6667, 0.0000) (multiplicity 2)
Cl (0.3333, 0.6667, 0.7067) (multiplicity 2)

Its crystal system is hexagonal.



How do the records compare in total DFT energy (no corrections)? In the order shown, they have -76.317; -39.543; -20.921 eV for the cell shown.
How do the records compare in ΔE_f (raw)? In the order shown, they have -2.4; -3.2; -2.3 eV per formula unit.
How do the records compare in spin magnetization? In the order shown, they have 0.00; 0.00; 0.00 μB/atom.